A plane-wave DFT calculation with PBE was carried out for a relaxed BeRu2Rh crystal.

Computed properties:
E_tot (eV/atom): -7.4946
D(E_F) (states/eV per atom): 0.90
Formation enthalpy at 0 K (eV/atom): -0.087
Crystal system: orthorhombic
Space-group type: Immm

Unit cell a=4.948 b=4.948 c=4.948 alpha=147.30 beta=129.15 gamma=61.78
Fractional positions:
Be (0.000, 0.000, 0.000)
Ru (0.217, 0.717, 0.500)
Ru (0.783, 0.283, 0.500)
Rh (0.500, 0.500, 0.000)

---

A plane-wave DFT calculation with PBE was carried out for a relaxed LaBe2NbBi crystal.

Computed properties:
E_tot (eV/atom): -4.4049
D(E_F) (states/eV per atom): 0.92
Formation enthalpy at 0 K (eV/atom): 0.861
Crystal system: tetragonal
Space-group type: P4/mmm

Unit cell a=4.796 b=4.796 c=5.286 alpha=90.00 beta=90.00 gamma=90.00
Fractional positions:
La (0.000, 0.000, 0.000)
Be (0.000, 0.500, 0.500)
Be (0.500, 0.000, 0.500)
Nb (0.000, 0.000, 0.500)
Bi (0.500, 0.500, 0.000)

---

A plane-wave DFT calculation with PBE was carried out for a relaxed PmY3TmTh crystal.

Computed properties:
E_tot (eV/atom): -5.9770
D(E_F) (states/eV per atom): 1.58
Formation enthalpy at 0 K (eV/atom): 0.029
Crystal system: monoclinic
Space-group type: P2_1/m

Unit cell a=7.992 b=5.075 c=10.114 alpha=90.00 beta=108.75 gamma=90.00
Fractional positions:
Pm (0.171, 0.250, 0.293)
Pm (0.829, 0.750, 0.707)
Y (0.171, 0.750, 0.543)
Y (0.176, 0.250, 0.793)
Y (0.176, 0.750, 0.044)
Y (0.824, 0.250, 0.956)
Y (0.824, 0.750, 0.207)
Y (0.829, 0.250, 0.457)
Tm (0.500, 0.250, 0.627)
Tm (0.500, 0.750, 0.373)
Th (0.500, 0.250, 0.122)
Th (0.500, 0.750, 0.878)

---

A plane-wave DFT calculation with PBE was carried out for a relaxed Li2Ac5Sn4 crystal.

Computed properties:
E_tot (eV/atom): -4.0957
D(E_F) (states/eV per atom): 0.70
Formation enthalpy at 0 K (eV/atom): -0.425
Crystal system: orthorhombic
Space-group type: Immm

Unit cell a=11.538 b=11.538 c=11.538 alpha=156.75 beta=138.72 gamma=47.91
Fractional positions:
Li (0.064, 0.064, 0.000)
Li (0.936, 0.936, 0.000)
Ac (0.102, 0.340, 0.762)
Ac (0.423, 0.660, 0.762)
Ac (0.500, 0.000, 0.500)
Ac (0.577, 0.340, 0.238)
Ac (0.898, 0.660, 0.238)
Sn (0.184, 0.500, 0.684)
Sn (0.206, 0.206, 0.000)
Sn (0.794, 0.794, 0.000)
Sn (0.816, 0.500, 0.316)

---

A plane-wave DFT calculation with PBE was carried out for a relaxed CaGa2Fe2C crystal.

Computed properties:
E_tot (eV/atom): -5.9210
D(E_F) (states/eV per atom): 0.51
Formation enthalpy at 0 K (eV/atom): -0.220
Crystal system: tetragonal
Space-group type: P4/mmm

Unit cell a=3.837 b=3.837 c=5.693 alpha=90.00 beta=90.00 gamma=90.00
Fractional positions:
Ca (0.000, 0.000, 0.000)
Ga (0.500, 0.500, 0.228)
Ga (0.500, 0.500, 0.772)
Fe (0.000, 0.500, 0.500)
Fe (0.500, 0.000, 0.500)
C (0.000, 0.000, 0.500)

---

A plane-wave DFT calculation with PBE was carried out for a relaxed Tb2Ni4SnGe3 crystal.

Computed properties:
E_tot (eV/atom): -5.6597
D(E_F) (states/eV per atom): 0.48
Formation enthalpy at 0 K (eV/atom): -0.636
Crystal system: tetragonal
Space-group type: P-4m2

Unit cell a=4.144 b=4.144 c=9.903 alpha=90.00 beta=90.00 gamma=90.00
Fractional positions:
Tb (0.000, 0.500, 0.234)
Tb (0.500, 0.000, 0.766)
Ni (0.000, 0.000, 0.000)
Ni (0.000, 0.500, 0.642)
Ni (0.500, 0.000, 0.358)
Ni (0.500, 0.500, 0.000)
Sn (0.000, 0.000, 0.500)
Ge (0.000, 0.500, 0.877)
Ge (0.500, 0.000, 0.123)
Ge (0.500, 0.500, 0.500)

---

A plane-wave DFT calculation with PBE was carried out for a relaxed VAsRh crystal.

Computed properties:
E_tot (eV/atom): -7.3642
D(E_F) (states/eV per atom): 0.98
Formation enthalpy at 0 K (eV/atom): -0.324
Crystal system: trigonal
Space-group type: P3m1

Unit cell a=4.220 b=4.220 c=2.809 alpha=90.00 beta=90.00 gamma=120.00
Fractional positions:
V (0.000, 0.000, 0.000)
As (0.667, 0.333, 0.497)
Rh (0.333, 0.667, 0.500)

---

A plane-wave DFT calculation with PBE was carried out for a relaxed Na2TiNbO6 crystal.

Computed properties:
E_tot (eV/atom): -7.3477
D(E_F) (states/eV per atom): 0.45
Crystal system: cubic
Space-group type: Fm-3m

Unit cell a=5.592 b=5.592 c=5.592 alpha=60.00 beta=60.00 gamma=60.00
Fractional positions:
Na (0.250, 0.250, 0.250)
Na (0.750, 0.750, 0.750)
Ti (0.000, 0.000, 0.000)
Nb (0.500, 0.500, 0.500)
O (0.247, 0.247, 0.753)
O (0.247, 0.753, 0.247)
O (0.247, 0.753, 0.753)
O (0.753, 0.247, 0.247)
O (0.753, 0.247, 0.753)
O (0.753, 0.753, 0.247)

---

A plane-wave DFT calculation with PBE was carried out for a relaxed KBe2Hg crystal.

Computed properties:
E_tot (eV/atom): -1.1858
D(E_F) (states/eV per atom): 0.44
Formation enthalpy at 0 K (eV/atom): 1.027
Crystal system: monoclinic
Space-group type: C2/m

Unit cell a=6.264 b=6.264 c=2.751 alpha=102.20 beta=102.20 gamma=118.91
Fractional positions:
K (0.000, 0.000, 0.000)
Be (0.000, 0.500, 0.500)
Be (0.500, 0.000, 0.500)
Hg (0.500, 0.500, 0.000)

---

A plane-wave DFT calculation with PBE was carried out for a relaxed TiZn3Pd crystal.

Computed properties:
E_tot (eV/atom): -2.9809
D(E_F) (states/eV per atom): 0.64
Formation enthalpy at 0 K (eV/atom): 0.401
Energy above the most stable polymorph in this dataset (eV per atom): 0.6495
Crystal system: cubic
Space-group type: Pm-3m

Unit cell a=4.654 b=4.654 c=4.654 alpha=90.00 beta=90.00 gamma=90.00
Fractional positions:
Ti (0.000, 0.000, 0.000)
Zn (0.000, 0.500, 0.500)
Zn (0.500, 0.000, 0.500)
Zn (0.500, 0.500, 0.000)
Pd (0.500, 0.500, 0.500)

---

A plane-wave DFT calculation with PBE was carried out for a relaxed CaHfI2 crystal.

Computed properties:
E_tot (eV/atom): -3.7765
D(E_F) (states/eV per atom): 1.19
Energy above the most stable polymorph in this dataset (eV per atom): 0.1553
Crystal system: tetragonal
Space-group type: I-42d

Unit cell a=10.301 b=10.301 c=10.301 alpha=149.50 beta=149.50 gamma=43.67
Fractional positions:
Ca (0.000, 0.000, 0.000)
Ca (0.750, 0.250, 0.500)
Hf (0.250, 0.750, 0.500)
Hf (0.500, 0.500, 0.000)
I (0.152, 0.625, 0.027)
I (0.375, 0.402, 0.527)
I (0.598, 0.125, 0.973)
I (0.875, 0.848, 0.473)

---

A plane-wave DFT calculation with PBE was carried out for a relaxed AcS8I2 crystal.

Computed properties:
E_tot (eV/atom): -3.9565
D(E_F) (states/eV per atom): 0.39
Crystal system: monoclinic
Space-group type: C2/m

Unit cell a=5.809 b=5.809 c=12.982 alpha=90.20 beta=90.20 gamma=85.11
Fractional positions:
Ac (0.000, 0.000, 0.000)
S (0.018, 0.018, 0.754)
S (0.042, 0.505, 0.076)
S (0.246, 0.246, 0.767)
S (0.495, 0.958, 0.924)
S (0.505, 0.042, 0.076)
S (0.754, 0.754, 0.233)
S (0.958, 0.495, 0.924)
S (0.982, 0.982, 0.246)
I (0.364, 0.364, 0.586)
I (0.636, 0.636, 0.414)

---

Which formula does entry 8 have?
Na2TiNbO6